# 1
Ce2ZrNpN4 | GGA-PBE | optimized geometry

Geometry as extended XYZ:
```
8
Lattice="-3.029 -0.792 1.390 -1.742 -2.372 -5.148 2.647 -4.292 3.324" Properties=species:S:1:pos:R:3 pbc="T T T"
Ce -0.191 -2.542 2.357
N -1.344 -1.915 0.200
N -0.779 -5.540 -0.634
Np -2.385 -1.582 -1.879
Zr 0.000 0.000 0.000
N -0.710 -2.730 -3.104
N 1.616 -3.933 1.280
Ce 0.453 -3.332 -0.912
```

Uncorrected energy in eV/atom: -9.819
Density of states at the Fermi level in states/eV/f.u.: 9.80
Mass density in g cm⁻³: 9.50
Total moment in μB per formula unit: 3.2

=====

# 2
Ce3Zr2NpN6 | GGA-PBE | optimized geometry

Geometry as extended XYZ:
```
12
Lattice="5.896 -0.002 0.001 -2.949 5.106 0.001 -0.983 -1.701 5.706" Properties=species:S:1:pos:R:3 pbc="T T T"
Zr -0.001 3.403 0.001
Zr 2.948 1.700 0.001
Ce 0.982 1.701 2.853
Ce -1.960 3.400 2.853
N 0.001 0.001 4.446
Np 0.000 0.000 0.000
Ce 3.924 0.002 2.853
N 2.950 1.696 4.441
N -0.005 3.403 4.441
N 1.970 -0.001 1.266
N 1.964 3.401 1.261
N -0.985 1.706 1.266
```

Uncorrected energy in eV/atom: -9.690
Density of states at the Fermi level in states/eV/f.u.: 12.96
Mass density in g cm⁻³: 8.93
Total moment in μB per formula unit: 3.0

=====

# 3
Ce5N4O | GGA-PBE | optimized geometry

Geometry as extended XYZ:
```
10
Lattice="3.494 0.000 -0.674 -0.259 4.844 -1.345 0.005 -0.001 9.419" Properties=species:S:1:pos:R:3 pbc="T T T"
N 0.642 0.959 3.330
Ce 1.164 4.353 6.035
Ce 2.076 0.490 1.365
N 1.300 1.941 6.741
N 1.939 2.902 0.659
N 2.597 3.884 4.070
Ce 2.721 1.453 4.709
O 0.000 0.000 0.000
Ce 0.519 3.390 2.691
Ce -0.130 2.422 -0.672
```

Uncorrected energy in eV/atom: -8.593
Density of states at the Fermi level in states/eV/f.u.: 13.39
Mass density in g cm⁻³: 8.05
Total moment in μB per formula unit: 0.0

=====

# 4
CeNO | GGA-PBE | optimized geometry

Geometry as extended XYZ:
```
6
Lattice="-1.872 2.566 -0.843 -1.994 -2.005 -1.674 -2.465 -1.347 7.776" Properties=species:S:1:pos:R:3 pbc="T T T"
O -3.689 -0.146 1.343
N -2.271 0.198 -0.758
N -4.060 -0.985 6.017
Ce -4.995 -0.462 3.278
O -2.642 -0.641 3.915
Ce -1.337 -0.324 1.981
```

Density of states at the Fermi level in states/eV/f.u.: 5.23
Mass density in g cm⁻³: 6.59
Distance to the lowest polymorph of the same formula in meV/atom: 0
Total moment in μB per formula unit: 0.7

=====

# 5
Ce3N3O | GGA-PBE | optimized geometry

Geometry as extended XYZ:
```
14
Lattice="6.095 0.285 3.094 2.021 5.758 3.094 0.383 0.285 6.825" Properties=species:S:1:pos:R:3 pbc="T T T"
Ce 4.278 1.955 8.858
Ce 1.634 2.790 6.614
O 5.729 4.266 8.772
Ce 4.793 0.765 5.535
Ce 3.706 5.562 7.478
Ce 4.221 4.373 4.155
O 2.770 2.062 4.241
N 5.424 5.283 5.917
Ce 6.865 3.538 6.399
N 5.989 1.587 7.346
N 3.075 1.045 7.096
N 5.741 2.646 4.576
N 2.759 3.682 8.437
N 2.510 4.741 5.668
```

Uncorrected energy in eV/atom: -8.664
Density of states at the Fermi level in states/eV/f.u.: 7.59
Mass density in g cm⁻³: 7.04
Total moment in μB per formula unit: 1.2

=====

# 6
CeNO | GGA-PBE | optimized geometry

Geometry as extended XYZ:
```
3
Lattice="3.902 0.000 0.000 1.951 3.379 0.000 1.951 1.126 3.186" Properties=species:S:1:pos:R:3 pbc="T T T"
N 3.902 2.253 1.593
O 0.000 0.000 0.000
Ce 1.951 1.126 0.797
```

Density of states at the Fermi level in states/eV/f.u.: 1.50
Mass density in g cm⁻³: 6.72
Distance to the lowest polymorph of the same formula in meV/atom: 84
Total moment in μB per formula unit: 1.0

=====

# 7
Ce4NO5 | GGA-PBE | optimized geometry

Geometry as extended XYZ:
```
10
Lattice="-1.668 0.486 3.202 4.480 -2.686 2.742 4.028 6.236 -0.920" Properties=species:S:1:pos:R:3 pbc="T T T"
O 1.406 -1.100 2.972
N -0.834 0.243 1.601
O 1.259 4.392 2.062
O 3.343 0.908 1.604
Ce 1.472 2.021 2.533
O 5.581 -0.357 2.962
Ce 5.368 2.014 2.491
Ce 3.119 5.371 2.882
O 3.497 3.128 3.420
Ce 3.721 -1.335 2.141
```

Uncorrected energy in eV/atom: -8.630
Density of states at the Fermi level in states/eV/f.u.: 17.26
Mass density in g cm⁻³: 6.97
Total moment in μB per formula unit: 3.0

=====

# 8
Ce3N2O2 | GGA-PBE | optimized geometry

Geometry as extended XYZ:
```
7
Lattice="3.561 0.000 0.000 0.000 6.265 0.489 -1.780 -2.337 5.394" Properties=species:S:1:pos:R:3 pbc="T T T"
N 1.781 5.124 1.832
Ce 1.780 0.338 3.175
N 0.000 -1.196 4.051
O 0.000 1.333 1.943
Ce 0.000 3.590 2.708
Ce 0.000 0.000 0.000
O 1.780 2.594 3.940
```

Density of states at the Fermi level in states/eV/f.u.: 12.08
Mass density in g cm⁻³: 6.41
Distance to the lowest polymorph of the same formula in meV/atom: 0
Total moment in μB per formula unit: 1.8

=====

# 9
Ce4N2O3 | GGA-PBE | optimized geometry

Geometry as extended XYZ:
```
9
Lattice="-1.804 -0.114 -3.089 -4.673 -4.005 0.803 -5.693 4.930 1.070" Properties=species:S:1:pos:R:3 pbc="T T T"
N -6.992 -1.882 0.005
O -3.446 -0.865 -0.030
Ce -8.199 -0.041 0.643
N -5.179 2.693 -1.222
Ce -5.069 -2.385 -1.099
Ce -3.971 0.853 -1.859
O 0.000 0.000 0.000
Ce -7.101 3.196 -0.117
O -8.725 1.676 -1.187
```

Uncorrected energy in eV/atom: -8.515
Density of states at the Fermi level in states/eV/f.u.: 13.45
Mass density in g cm⁻³: 6.76
Total moment in μB per formula unit: 3.4

=====

# 10
Ce6N5O | GGA-PBE | optimized geometry

Geometry as extended XYZ:
```
12
Lattice="-4.403 -1.736 -3.952 -4.945 -1.917 3.142 -4.415 4.015 1.550" Properties=species:S:1:pos:R:3 pbc="T T T"
Ce -5.191 -0.115 -2.178
O 0.000 0.000 0.000
Ce -8.304 0.566 -0.614
N -6.241 1.402 3.128
Ce -5.458 -0.204 1.355
N -7.800 -1.112 1.159
Ce -8.571 0.477 2.919
N -4.674 -1.827 -0.405
Ce -6.996 -2.734 -0.605
Ce -2.351 -0.919 -0.205
N -5.962 1.474 -0.419
N -3.119 0.696 1.564
```

Uncorrected energy in eV/atom: -8.605
Density of states at the Fermi level in states/eV/f.u.: 15.07
Mass density in g cm⁻³: 8.04
Total moment in μB per formula unit: 0.0

=====

# 11
Ce3N2O | GGA-PBE | optimized geometry

Geometry as extended XYZ:
```
6
Lattice="3.413 0.000 0.000 0.000 3.413 0.000 0.000 0.000 10.676" Properties=species:S:1:pos:R:3 pbc="T T T"
N 0.000 1.707 4.373
Ce 0.000 0.000 0.000
Ce 1.707 0.000 4.002
N 1.707 0.000 6.302
Ce 0.000 1.707 6.674
O 1.707 1.707 0.000
```

Density of states at the Fermi level in states/eV/f.u.: 13.11
Mass density in g cm⁻³: 6.20
Distance to the lowest polymorph of the same formula in meV/atom: 381
Total moment in μB per formula unit: 2.3

=====

# 12
Ce4N3O | GGA-PBE | optimized geometry

Geometry as extended XYZ:
```
8
Lattice="3.554 -0.044 0.060 0.045 5.912 1.723 -0.100 0.340 6.148" Properties=species:S:1:pos:R:3 pbc="T T T"
Ce 3.513 4.659 5.952
Ce 3.540 1.505 2.039
N 3.526 3.082 3.996
N 3.454 0.296 6.208
Ce 1.713 1.706 5.065
N 1.727 0.149 3.104
O 1.699 3.274 7.039
Ce 1.786 4.503 2.866
```

Density of states at the Fermi level in states/eV/f.u.: 9.92
Mass density in g cm⁻³: 8.08
Distance to the lowest polymorph of the same formula in meV/atom: 0
Total moment in μB per formula unit: 0.0